Density functional theory data (PBE) for an optimized crystal structure of BiPbS2Cl.

Lattice parameters (Å, degrees): 5.3760 5.3760 5.2224 90.00 90.00 90.00
Fractional coordinates of all 5 atoms:
1 S 0.0000 0.5000 0.0000
2 S 0.5000 0.0000 0.0000
3 Bi 0.0000 0.0000 0.0000
4 Cl 0.0000 0.0000 0.5000
5 Pb 0.5000 0.5000 0.5000

Computed properties:
Total magnetic moment in μB per cell: 0.0
Total energy in eV per atom: -3.697
Space group: P4/mmm
E_form (uncorrected) in meV per atom: -158
Energy above the most stable polymorph in this dataset in kJ per mole of atoms: 39.0
Density in Mg/m³: 5.674